Compound: PmNd2Y
Source: Alexandria
Functional: GGA-PBE
Structure: optimized geometry

Cell lengths 10.304, 10.318, 5.158 Å; angles 90.00, 90.00, 90.00 degrees
Space group Cmcm (No. 63)
Unique sites:
Pm  0.000  0.126  0.250 x4
Nd  0.249  0.375  0.250 x8
Y  0.000  0.376  0.750 x4

Output
- distance to the lowest polymorph of the same formula (eV per atom) = 0.0021
- energy of formation from the pure elements (meV per atom) = 13


Compound: KAl8
Source: Alexandria
Functional: GGA-PBE
Structure: optimized geometry

Cell lengths 9.139, 9.139, 4.222 Å; angles 90.00, 90.00, 90.00 degrees
Space group I4/mmm (No. 139)
Unique sites:
K  0.000  0.000  0.000 x2
Al  0.000  0.348  0.000 x8
Al  0.186  0.186  0.500 x8

Output
- energy of formation from the pure elements (meV per atom) = 214


Compound: BSbTe2I
Source: Alexandria
Functional: GGA-PBE
Structure: optimized geometry

Cell lengths 5.818, 5.818, 5.906 Å; angles 90.00, 90.00, 90.00 degrees
Space group P4/mmm (No. 123)
Unique sites:
B  0.000  0.000  0.000 x1
Sb  0.500  0.500  0.000 x1
Te  0.000  0.500  0.500 x2
I  0.500  0.500  0.500 x1

Output
- distance to the lowest polymorph of the same formula (eV per atom) = 1.1307
- ΔE_f (raw) (eV per atom) = 1.83


Compound: YZr2Re
Source: Alexandria
Functional: GGA-PBE
Structure: optimized geometry

Cell lengths 4.192, 4.192, 9.780 Å; angles 90.00, 90.00, 90.00 degrees
Space group I-4m2 (No. 119)
Unique sites:
Y  0.000  0.000  0.000 x2
Zr  0.000  0.000  0.500 x2
Zr  0.000  0.500  0.750 x2
Re  0.000  0.500  0.250 x2

Output
- distance to the lowest polymorph of the same formula (eV per atom) = 0.3259
- energy of formation from the pure elements (meV per atom) = 297


| no. | E_tot (eV/atom) |
| --- | --- |
| 1 | -5.175 |
| 2 | -3.234 |
| 3 | -1.898 |
| 4 | -8.705 |